No. 1
Density functional theory data (PBE) for Na2Mg3Pb5 after structural relaxation.

a b c (Å): 10.104 10.104 10.104
angles (deg): 98.44 94.90 140.17
Positions (direct):
Na (0.135, 0.240, 0.375)
Na (0.365, 0.740, 0.104)
Na (0.635, 0.260, 0.896)
Na (0.865, 0.760, 0.625)
Mg (0.127, 0.867, 0.995)
Mg (0.250, 0.750, 0.500)
Mg (0.373, 0.367, 0.740)
Mg (0.627, 0.633, 0.260)
Mg (0.750, 0.250, 0.500)
Mg (0.873, 0.133, 0.005)
Pb (0.011, 0.750, 0.261)
Pb (0.102, 0.653, 0.755)
Pb (0.250, 0.250, 0.000)
Pb (0.398, 0.153, 0.550)
Pb (0.489, 0.750, 0.739)
Pb (0.511, 0.250, 0.261)
Pb (0.602, 0.847, 0.450)
Pb (0.750, 0.750, 0.000)
Pb (0.898, 0.347, 0.245)
Pb (0.989, 0.250, 0.739)

ΔH_f (0 K) (eV per formula unit): -0.37
Space-group type: Ibam (72)

No. 2
Density functional theory data (PBE) for Ca4Tl5Au2 after structural relaxation.

a b c (Å): 8.077 3.731 10.168
angles (deg): 90.00 94.66 90.00
Positions (direct):
Ca (0.185, 0.000, 0.361)
Ca (0.234, 0.000, 0.936)
Ca (0.766, 0.000, 0.064)
Ca (0.815, 0.000, 0.639)
Tl (0.166, 0.500, 0.645)
Tl (0.454, 0.500, 0.180)
Tl (0.500, 0.500, 0.500)
Tl (0.546, 0.500, 0.820)
Tl (0.834, 0.500, 0.355)
Au (0.072, 0.500, 0.134)
Au (0.928, 0.500, 0.866)

ΔH_f (0 K) (eV per formula unit): -4.94
Space-group type: P2/m (10)

No. 3
Density functional theory data (PBE) for SrTaTl2W after structural relaxation.

a b c (Å): 5.457 5.457 4.935
angles (deg): 90.00 90.00 90.00
Positions (direct):
Sr (0.000, 0.000, 0.000)
Ta (0.500, 0.500, 0.000)
Tl (0.000, 0.500, 0.500)
Tl (0.500, 0.000, 0.500)
W (0.500, 0.500, 0.500)

ΔH_f (0 K) (eV per formula unit): 3.77
Space-group type: P4/mmm (123)

No. 4
Density functional theory data (PBE) for Te2PdI after structural relaxation.

a b c (Å): 6.463 6.463 6.260
angles (deg): 102.14 102.14 97.88
Positions (direct):
Te (0.135, 0.340, 0.049)
Te (0.340, 0.135, 0.549)
Te (0.660, 0.865, 0.451)
Te (0.865, 0.660, 0.951)
Pd (0.049, 0.951, 0.750)
Pd (0.951, 0.049, 0.250)
I (0.331, 0.669, 0.750)
I (0.669, 0.331, 0.250)

Electronic total energy (Ha/atom): -0.12165
Space-group type: C2/c (15)

No. 5
Density functional theory data (PBE) for Dy2Si4IrPt3 after structural relaxation.

a b c (Å): 4.109 4.109 10.112
angles (deg): 90.00 90.00 90.00
Positions (direct):
Dy (0.000, 0.500, 0.249)
Dy (0.500, 0.000, 0.751)
Si (0.000, 0.000, 0.000)
Si (0.000, 0.500, 0.636)
Si (0.500, 0.000, 0.364)
Si (0.500, 0.500, 0.000)
Ir (0.000, 0.000, 0.500)
Pt (0.000, 0.500, 0.872)
Pt (0.500, 0.000, 0.128)
Pt (0.500, 0.500, 0.500)

Electronic total energy (Ha/atom): -0.25288
Space-group type: P-4m2 (115)

No. 6
Density functional theory data (PBE) for CeSm2In9 after structural relaxation.

a b c (Å): 4.692 4.692 14.089
angles (deg): 90.00 90.00 90.00
Positions (direct):
Ce (0.000, 0.000, 0.000)
Sm (0.000, 0.000, 0.335)
Sm (0.000, 0.000, 0.665)
In (0.000, 0.500, 0.167)
In (0.000, 0.500, 0.500)
In (0.000, 0.500, 0.833)
In (0.500, 0.000, 0.167)
In (0.500, 0.000, 0.500)
In (0.500, 0.000, 0.833)
In (0.500, 0.500, 0.000)
In (0.500, 0.500, 0.333)
In (0.500, 0.500, 0.667)

ΔH_f (0 K) (eV per formula unit): -5.36
Space-group type: P4/mmm (123)

No. 7
Density functional theory data (PBE) for CaPuRu4 after structural relaxation.

a b c (Å): 5.327 5.327 5.327
angles (deg): 60.00 60.00 60.00
Positions (direct):
Ca (0.000, 0.000, 0.000)
Pu (0.250, 0.250, 0.250)
Ru (0.125, 0.625, 0.625)
Ru (0.625, 0.125, 0.625)
Ru (0.625, 0.625, 0.125)
Ru (0.625, 0.625, 0.625)

ΔH_f (0 K) (eV per formula unit): -0.12
Space-group type: F-43m (216)

No. 8
Density functional theory data (PBE) for LiCuBr3 after structural relaxation.

a b c (Å): 8.263 8.263 7.930
angles (deg): 91.73 91.73 81.90
Positions (direct):
Li (0.068, 0.257, 0.182)
Li (0.257, 0.068, 0.682)
Li (0.743, 0.932, 0.318)
Li (0.932, 0.743, 0.818)
Cu (0.246, 0.754, 0.250)
Cu (0.411, 0.589, 0.750)
Cu (0.589, 0.411, 0.250)
Cu (0.754, 0.246, 0.750)
Br (0.032, 0.224, 0.864)
Br (0.147, 0.620, 0.614)
Br (0.224, 0.032, 0.364)
Br (0.302, 0.465, 0.147)
Br (0.380, 0.853, 0.886)
Br (0.465, 0.302, 0.647)
Br (0.535, 0.698, 0.353)
Br (0.620, 0.147, 0.114)
Br (0.698, 0.535, 0.853)
Br (0.776, 0.968, 0.636)
Br (0.853, 0.380, 0.386)
Br (0.968, 0.776, 0.136)

E above lowest polymorph (meV per atom): 0
Space-group type: C2/c (15)